Entry 1:
## Na2UCuBr8 (GGA-PBE)

Data for a geometry-optimized Na2UCuBr8 structure.

Properties
Energy relative to the elements, uncorrected (eV per atom): -1.14
Crystal system: monoclinic
Magnetization (μB/cell): 0.882
Total DFT energy (no corrections) (eV/atom): -3.75
N(E_F) (states/eV/atom): 0.31

Geometry as CIF:
```
data_Na2UCuBr8
_cell_length_a 6.616
_cell_length_b 9.198
_cell_length_c 6.790
_cell_angle_alpha 90.00
_cell_angle_beta 98.19
_cell_angle_gamma 90.00
_space_group_name_H-M_alt 'P 1 2/m 1'
_space_group_IT_number 10
loop_
_space_group_symop_operation_xyz
'x,y,z'
'-x,-y,-z'
'-x,y,-z'
'x,-y,z'
loop_
_atom_site_label
_atom_site_type_symbol
_atom_site_fract_x
_atom_site_fract_y
_atom_site_fract_z
Na1 Na 0.000 0.223 0.000
U1 U 0.500 0.500 0.500
Cu1 Cu 0.500 0.000 0.500
Br1 Br 0.236 0.500 0.154
Br2 Br 0.260 0.000 0.214
Br3 Br 0.283 0.288 0.648
```

Entry 2:
## NaZn2CuBr (GGA-PBE)

Data for a geometry-optimized NaZn2CuBr structure.

Properties
Energy relative to the elements, uncorrected (eV per atom): 0.67
Crystal system: tetragonal
Magnetization (μB/cell): 0.000
Total DFT energy (no corrections) (eV/atom): -1.26
N(E_F) (states/eV/atom): 0.53

Geometry as CIF:
```
data_NaZn2CuBr
_cell_length_a 5.397
_cell_length_b 5.397
_cell_length_c 5.192
_cell_angle_alpha 90.00
_cell_angle_beta 90.00
_cell_angle_gamma 90.00
_space_group_name_H-M_alt 'P 4/m m m'
_space_group_IT_number 123
_space_group_name_Hall '-P 4 2'
loop_
_atom_site_label
_atom_site_type_symbol
_atom_site_fract_x
_atom_site_fract_y
_atom_site_fract_z
Na1 Na 0.000 0.000 0.000
Zn1 Zn 0.000 0.500 0.000
Cu1 Cu 0.000 0.000 0.500
Br1 Br 0.500 0.500 0.500
```

Entry 3:
## NaZnCu2Br6 (GGA-PBE)

Data for a geometry-optimized NaZnCu2Br6 structure.

Properties
Energy relative to the elements, uncorrected (eV per atom): -0.68
Crystal system: monoclinic
Magnetization (μB/cell): 4.326
Total DFT energy (no corrections) (eV/atom): -2.76
N(E_F) (states/eV/atom): 0.85

Geometry as CIF:
```
data_NaZnCu2Br6
_cell_length_a 13.675
_cell_length_b 13.094
_cell_length_c 7.428
_cell_angle_alpha 90.00
_cell_angle_beta 111.68
_cell_angle_gamma 90.00
_space_group_name_H-M_alt 'C 1 2/c 1'
_space_group_IT_number 15
loop_
_space_group_symop_operation_xyz
'x,y,z'
'-x,-y,-z'
'-x,y,-z+1/2'
'x,-y,z+1/2'
'x+1/2,y+1/2,z'
'-x+1/2,-y+1/2,-z'
'-x+1/2,y+1/2,-z+1/2'
'x+1/2,-y+1/2,z+1/2'
loop_
_atom_site_label
_atom_site_type_symbol
_atom_site_fract_x
_atom_site_fract_y
_atom_site_fract_z
Na1 Na 0.000 0.118 0.250
Zn1 Zn 0.000 0.192 0.750
Cu1 Cu 0.179 0.433 0.195
Br1 Br 0.112 0.259 0.062
Br2 Br 0.120 0.074 0.665
Br3 Br 0.137 0.427 0.479
```

Entry 4:
## NbCu3Br (GGA-PBE)

Data for a geometry-optimized NbCu3Br structure.

Properties
Energy relative to the elements, uncorrected (eV per atom): 1.36
Crystal system: cubic
Excess energy over the best structure of this formula in the dataset (meV/atom): 0.0
Magnetization (μB/cell): 2.503
Total DFT energy (no corrections) (eV/atom): -3.45
N(E_F) (states/eV/atom): 0.85

Geometry as CIF:
```
data_NbCu3Br
_cell_length_a 4.574
_cell_length_b 4.574
_cell_length_c 4.574
_cell_angle_alpha 90.00
_cell_angle_beta 90.00
_cell_angle_gamma 90.00
_space_group_name_H-M_alt 'P m -3 m'
_space_group_IT_number 221
_space_group_name_Hall '-P 4 2 3'
loop_
_atom_site_label
_atom_site_type_symbol
_atom_site_fract_x
_atom_site_fract_y
_atom_site_fract_z
Nb1 Nb 0.000 0.000 0.000
Cu1 Cu 0.000 0.500 0.500
Br1 Br 0.500 0.500 0.500
```

Entry 5:
## NbCuBr2 (GGA-PBE)

Data for a geometry-optimized NbCuBr2 structure.

Properties
Energy relative to the elements, uncorrected (eV per atom): 0.44
Crystal system: cubic
Excess energy over the best structure of this formula in the dataset (meV/atom): 0.0
Magnetization (μB/cell): 0.000
Total DFT energy (no corrections) (eV/atom): -3.94
N(E_F) (states/eV/atom): 0.75

Geometry as CIF:
```
data_NbCuBr2
_cell_length_a 6.632
_cell_length_b 6.632
_cell_length_c 6.632
_cell_angle_alpha 90.00
_cell_angle_beta 90.00
_cell_angle_gamma 90.00
_space_group_name_H-M_alt 'F m -3 m'
_space_group_IT_number 225
_space_group_name_Hall '-F 4 2 3'
loop_
_atom_site_label
_atom_site_type_symbol
_atom_site_fract_x
_atom_site_fract_y
_atom_site_fract_z
Nb1 Nb 0.000 0.000 0.000
Cu1 Cu 0.000 0.000 0.500
Br1 Br 0.250 0.250 0.250
```

Entry 6:
## Nb3CuBr (GGA-PBE)

Data for a geometry-optimized Nb3CuBr structure.

Properties
Energy relative to the elements, uncorrected (eV per atom): 1.27
Crystal system: cubic
Excess energy over the best structure of this formula in the dataset (meV/atom): 0.0
Magnetization (μB/cell): 0.000
Total DFT energy (no corrections) (eV/atom): -5.92
N(E_F) (states/eV/atom): 0.75

Geometry as CIF:
```
data_Nb3CuBr
_cell_length_a 4.752
_cell_length_b 4.752
_cell_length_c 4.752
_cell_angle_alpha 90.00
_cell_angle_beta 90.00
_cell_angle_gamma 90.00
_space_group_name_H-M_alt 'P m -3 m'
_space_group_IT_number 221
_space_group_name_Hall '-P 4 2 3'
loop_
_atom_site_label
_atom_site_type_symbol
_atom_site_fract_x
_atom_site_fract_y
_atom_site_fract_z
Nb1 Nb 0.000 0.000 0.500
Cu1 Cu 0.000 0.000 0.000
Br1 Br 0.500 0.500 0.500
```